[1]
VASP calculation (GGA-PBE) on an optimized crystal structure of CaVCl2.

Results
- total magnetic moment (μB per atom) = 0.946
- formation energy (no corrections) (eV per atom) = -0.814
- space-group type = No. 166
- excess energy over the best structure of this formula in the dataset (kJ/mol of formula units) = 0
- crystal system = trigonal

The structure in POSCAR format:
```
CaVCl2
1.0
-7.025 1.223 4.531
-7.555 -2.265 3.028
-5.437 -1.845 6.197
Ca Cl V
1 2 1
Cartesian
-10.008 -1.444 6.878
-17.974 -2.592 12.352
-2.043 -0.295 1.404
0.000 0.000 0.000
```



[2]
VASP calculation (GGA-PBE) on an optimized crystal structure of Ta6Ru7.

Results
- DFT formation energy (eV/atom) = -0.171
- total magnetic moment (μB per atom) = 0.000
- space-group type = No. 166
- crystal system = trigonal

The structure in POSCAR format:
```
Ta6Ru7
1.0
-8.399 4.464 0.568
-9.513 -0.541 -0.080
-8.249 1.240 4.604
Ru Ta
7 6
Cartesian
-10.665 3.321 3.048
-15.496 1.841 2.045
-13.081 2.581 2.546
-14.936 4.359 2.370
-11.300 2.425 0.691
-14.861 2.737 4.401
-11.225 0.803 2.722
-4.003 0.790 0.779
-17.424 3.438 3.392
-1.279 0.252 0.249
-8.737 1.724 1.701
-24.882 4.910 4.843
-22.158 4.372 4.313
```



[3]
VASP calculation (GGA-PBE) on an optimized crystal structure of Rb3NpU3Se8.

Results
- total magnetic moment (μB per atom) = 0.800
- formation energy (no corrections) (eV per atom) = -1.244
- space-group type = No. 166
- crystal system = trigonal

The structure in POSCAR format:
```
Rb3NpU3Se8
1.0
8.417 0.000 0.000
-4.208 7.291 -0.034
0.000 -4.827 8.191
Se U Rb Np
8 3 3 1
Cartesian
2.087 3.657 5.646
-2.087 3.657 5.646
0.000 0.048 5.660
2.121 -1.193 2.512
4.208 2.416 2.498
0.000 2.437 2.460
6.296 -1.193 2.512
4.208 0.027 5.698
2.104 1.232 4.079
4.208 -2.414 4.096
-2.104 1.232 4.079
2.104 3.646 -0.017
0.000 0.000 0.000
-2.104 3.646 -0.017
0.000 -2.414 4.096
```



[4]
VASP calculation (GGA-PBE) on an optimized crystal structure of ZrOs2Rh.

Results
- DFT formation energy (eV/atom) = -0.092
- total magnetic moment (μB per atom) = 0.000
- space-group type = No. 139
- excess energy over the best structure of this formula in the dataset (kJ/mol of formula units) = 46
- crystal system = tetragonal

The structure in POSCAR format:
```
ZrOs2Rh
1.0
-3.989 1.971 -2.170
-1.596 -2.814 -3.748
1.143 -0.983 4.716
Os Zr Rh
2 1 1
Cartesian
-2.793 -0.421 -2.959
0.000 0.000 0.000
-2.819 0.283 -0.207
-1.623 -2.109 -0.996
```



[5]
VASP calculation (GGA-PBE) on an optimized crystal structure of V2FeGe3.

Results
- DFT formation energy (eV/atom) = 0.021
- total magnetic moment (μB per atom) = 0.567
- space-group type = No. 15
- crystal system = monoclinic

The structure in POSCAR format:
```
V2FeGe3
1.0
6.962 0.193 0.332
-1.278 6.184 -1.320
-1.278 -4.212 4.716
Ge Fe V
6 2 4
Cartesian
-0.618 -0.240 1.570
-0.639 3.092 -0.660
1.542 0.586 2.993
2.863 1.579 0.736
5.023 2.405 2.159
2.842 -2.009 2.524
0.462 1.936 1.258
3.943 0.229 2.471
3.943 -3.303 4.521
0.462 -1.741 3.393
3.943 3.906 0.336
0.462 5.468 -0.793
```



[6]
VASP calculation (GGA-PBE) on an optimized crystal structure of Dy2Si2SnIr5.

Results
- total magnetic moment (μB per atom) = 0.000
- formation energy (no corrections) (eV per atom) = -0.824
- space-group type = No. 127
- crystal system = tetragonal

The structure in POSCAR format:
```
Dy2Si2SnIr5
1.0
3.615 0.000 0.000
0.000 9.711 0.000
0.000 0.000 9.711
Ir Dy Si Sn
10 4 4 2
Cartesian
1.807 4.190 2.748
1.807 5.520 6.963
1.807 7.603 9.046
1.807 0.665 7.603
1.807 4.855 0.000
1.807 2.748 5.520
1.807 0.000 4.855
1.807 6.963 4.190
1.807 9.046 2.107
1.807 2.107 0.665
0.000 8.000 6.566
0.000 1.711 3.145
0.000 3.145 8.000
0.000 6.566 1.711
0.000 8.527 3.671
0.000 6.039 8.527
0.000 1.184 6.039
0.000 3.671 1.184
0.000 0.000 0.000
0.000 4.855 4.855
```



[7]
VASP calculation (GGA-PBE) on an optimized crystal structure of Ac4Ag5Pd3.

Results
- DFT formation energy (eV/atom) = -0.279
- total magnetic moment (μB per atom) = 0.000
- space-group type = No. 12
- crystal system = monoclinic

The structure in POSCAR format:
```
Ac4Ag5Pd3
1.0
-2.209 -4.377 0.576
5.125 -5.305 0.497
1.342 -2.137 10.060
Ac Pd Ag
4 3 5
Cartesian
4.661 -6.990 7.067
-0.404 -4.829 4.066
0.512 -7.459 8.748
3.745 -4.360 2.385
4.058 -7.083 4.050
3.233 -3.721 5.278
0.199 -4.736 7.083
3.394 -5.997 9.750
0.015 -2.635 1.185
4.242 -9.184 9.947
2.128 -5.909 5.566
0.863 -5.822 1.383
```



[8]
VASP calculation (GGA-PBE) on an optimized crystal structure of ScTi3Re.

Results
- DFT formation energy (eV/atom) = 0.445
- total magnetic moment (μB per atom) = 0.000
- space-group type = No. 221
- excess energy over the best structure of this formula in the dataset (kJ/mol of formula units) = 0
- crystal system = cubic

The structure in POSCAR format:
```
ScTi3Re
1.0
-0.866 -1.351 -4.498
4.696 -0.351 -0.799
-0.105 -4.568 1.391
Ti Re Sc
3 1 1
Cartesian
2.348 -0.175 -0.399
-0.433 -0.675 -2.249
-0.052 -2.284 0.696
0.000 0.000 0.000
1.863 -3.134 -1.953
```



[9]
VASP calculation (GGA-PBE) on an optimized crystal structure of CaZr2Cl.

Results
- total magnetic moment (μB per atom) = 0.000
- formation energy (no corrections) (eV per atom) = 0.664
- space-group type = No. 225
- excess energy over the best structure of this formula in the dataset (kJ/mol of formula units) = 441
- crystal system = cubic

The structure in POSCAR format:
```
CaZr2Cl
1.0
-3.624 -2.658 2.606
-5.022 1.199 -0.582
-3.168 -3.244 -2.536
Zr Cl Ca
2 1 1
Cartesian
-2.954 -1.176 -0.128
-8.861 -3.528 -0.384
0.000 0.000 0.000
-5.907 -2.352 -0.256
```



[10]
VASP calculation (GGA-PBE) on an optimized crystal structure of TbPrNdCu.

Results
- DFT formation energy (eV/atom) = -0.077
- total magnetic moment (μB per atom) = 0.000
- space-group type = No. 99
- crystal system = tetragonal

The structure in POSCAR format:
```
TbPrNdCu
1.0
-0.234 2.062 -2.938
-3.171 1.259 1.137
4.117 6.526 4.252
Tb Cu Nd Pr
1 1 1 1
Cartesian
1.433 6.632 2.339
2.401 3.806 2.480
-0.159 4.108 0.694
0.266 0.422 0.275
```



[11]
VASP calculation (GGA-PBE) on an optimized crystal structure of LaScTa.

Results
- DFT formation energy (eV/atom) = 1.342
- total magnetic moment (μB per atom) = 0.001
- space-group type = No. 216
- excess energy over the best structure of this formula in the dataset (kJ/mol of formula units) = 307
- crystal system = cubic

The structure in POSCAR format:
```
LaScTa
1.0
-1.444 -0.156 4.572
2.773 -2.071 3.321
2.202 2.692 3.304
Ta La Sc
1 1 1
Cartesian
1.766 0.232 5.599
2.649 0.348 8.398
0.000 0.000 0.000
```



[12]
VASP calculation (GGA-PBE) on an optimized crystal structure of TaSbTe2I.

Results
- total magnetic moment (μB per atom) = 0.483
- formation energy (no corrections) (eV per atom) = 1.782
- space-group type = No. 123
- excess energy over the best structure of this formula in the dataset (kJ/mol of formula units) = 772
- crystal system = tetragonal

The structure in POSCAR format:
```
TaSbTe2I
1.0
5.662 0.000 0.000
0.000 5.662 0.000
0.000 0.000 5.686
I Te Sb Ta
1 2 1 1
Cartesian
0.000 0.000 0.000
0.000 2.831 0.000
2.831 0.000 0.000
0.000 0.000 2.843
2.831 2.831 2.843
```



[13]
VASP calculation (GGA-PBE) on an optimized crystal structure of Cr2NiMo.

Results
- DFT formation energy (eV/atom) = 0.276
- total magnetic moment (μB per atom) = 0.000
- space-group type = No. 65
- crystal system = orthorhombic

The structure in POSCAR format:
```
Cr2NiMo
1.0
-1.068 -2.714 -3.663
-2.917 -0.608 3.611
-1.499 1.813 -0.906
Mo Ni Cr
1 1 2
Cartesian
-1.283 -0.451 -2.284
-2.208 0.602 1.352
0.000 0.000 0.000
-1.992 -1.661 -0.026
```



[14]
VASP calculation (GGA-PBE) on an optimized crystal structure of CsGaHg2Br.

Results
- total magnetic moment (μB per atom) = 0.000
- formation energy (no corrections) (eV per atom) = -0.538
- space-group type = No. 123
- excess energy over the best structure of this formula in the dataset (kJ/mol of formula units) = 0
- crystal system = tetragonal

The structure in POSCAR format:
```
CsGaHg2Br
1.0
-0.014 5.035 2.024
-2.350 1.818 -4.541
-5.624 -1.021 2.502
Cs Hg Br Ga
1 2 1 1
Cartesian
-3.994 2.916 -0.007
-0.007 2.518 1.012
-1.175 0.909 -2.270
-2.812 -0.510 1.251
0.000 0.000 0.000
```



[15]
VASP calculation (GGA-PBE) on an optimized crystal structure of Mg3TaIr4.

Results
- DFT formation energy (eV/atom) = -0.558
- total magnetic moment (μB per atom) = 0.000
- space-group type = No. 123
- crystal system = tetragonal

The structure in POSCAR format:
```
Mg3TaIr4
1.0
4.437 0.000 0.000
0.000 6.240 0.000
0.000 0.000 8.875
Mg Ir Ta
6 8 2
Cartesian
0.000 0.000 0.000
2.219 3.120 6.656
2.220 0.000 6.656
2.218 3.120 2.219
0.000 0.000 4.437
2.218 0.000 2.219
2.219 1.582 0.000
0.001 4.658 6.656
2.219 4.658 0.000
4.437 1.582 2.219
4.437 4.658 2.219
0.001 1.582 6.656
2.219 1.582 4.437
2.219 4.658 4.437
0.000 3.120 0.000
0.000 3.120 4.437
```



[16]
VASP calculation (GGA-PBE) on an optimized crystal structure of Rb4Sb2F.

Results
- total magnetic moment (μB per atom) = 0.068
- formation energy (no corrections) (eV per atom) = -0.605
- space-group type = No. 139
- crystal system = tetragonal

The structure in POSCAR format:
```
Rb4Sb2F
1.0
5.518 0.000 0.000
0.000 5.518 0.000
2.759 2.759 10.206
Rb Sb F
4 2 1
Cartesian
0.000 2.759 0.000
2.759 2.759 3.770
5.518 5.518 6.436
2.759 0.000 0.000
2.759 2.759 7.561
5.518 5.518 2.645
0.000 0.000 0.000
```



[17]
VASP calculation (GGA-PBE) on an optimized crystal structure of LaB2Pt6.

Results
- DFT formation energy (eV/atom) = -0.576
- total magnetic moment (μB per atom) = 0.000
- space-group type = No. 227
- excess energy over the best structure of this formula in the dataset (kJ/mol of formula units) = 120
- crystal system = cubic

The structure in POSCAR format:
```
LaB2Pt6
1.0
-5.325 2.991 4.563
-5.678 -4.370 2.607
-0.238 -1.947 7.367
Pt La B
12 2 4
Cartesian
-5.451 1.005 5.718
-2.936 -2.818 4.789
-2.835 -1.987 1.645
-5.108 -0.710 3.592
-0.513 -0.953 3.676
-8.706 -1.500 7.212
-2.535 -1.826 7.325
-2.786 0.324 5.624
-5.653 -3.214 4.596
-2.684 1.155 2.480
-5.588 -0.111 9.941
-5.790 -4.330 8.819
-8.431 -2.494 10.903
-5.620 -1.663 7.269
-4.244 -2.601 3.121
-4.068 1.080 4.099
-1.405 -0.416 1.817
-1.524 -1.389 5.501
```



[18]
VASP calculation (GGA-PBE) on an optimized crystal structure of Er4Ag5Sb7.

Results
- total magnetic moment (μB per atom) = 0.000
- formation energy (no corrections) (eV per atom) = -0.552
- space-group type = No. 121
- crystal system = tetragonal

The structure in POSCAR format:
```
Er4Ag5Sb7
1.0
-3.105 2.341 -4.588
-3.059 -5.148 -0.557
-4.206 5.002 9.341
Er Sb Ag
4 7 5
Cartesian
-4.090 3.425 6.411
-4.788 -2.356 -0.009
-7.053 2.076 3.937
-4.810 1.244 -1.947
-1.530 -2.574 -0.278
-1.553 1.171 -2.294
-5.037 4.422 3.622
-6.943 -1.014 -1.804
-3.748 0.441 0.863
-3.082 -1.404 -2.573
-5.013 0.540 5.711
-3.688 1.821 3.425
0.000 0.000 0.000
-5.197 2.970 1.090
-6.683 0.374 0.771
-5.174 -0.775 3.106
```



[19]
VASP calculation (GGA-PBE) on an optimized crystal structure of HoSc2Cu9.

Results
- DFT formation energy (eV/atom) = -0.216
- total magnetic moment (μB per atom) = 0.000
- space-group type = No. 166
- crystal system = trigonal

The structure in POSCAR format:
```
HoSc2Cu9
1.0
5.062 0.000 0.000
2.531 4.384 0.000
2.531 1.461 8.118
Cu Sc Ho
9 2 1
Cartesian
3.788 3.658 6.063
6.337 3.658 6.063
6.337 2.187 2.055
2.531 1.461 0.011
7.593 4.384 8.107
5.062 2.923 4.059
5.062 4.394 2.055
5.062 1.451 6.063
3.788 2.187 2.055
2.531 1.461 4.614
7.593 4.384 3.504
0.000 0.000 0.000
```



[20]
VASP calculation (GGA-PBE) on an optimized crystal structure of YAgSn.

Results
- DFT formation energy (eV/atom) = -0.609
- total magnetic moment (μB per atom) = 0.000
- space-group type = No. 186
- crystal system = hexagonal

The structure in POSCAR format:
```
YAgSn
1.0
4.743 0.000 0.000
-2.371 4.107 0.000
0.000 0.000 7.414
Y Sn Ag
2 2 2
Cartesian
0.000 0.000 3.704
0.000 0.000 7.411
0.000 2.738 1.625
2.371 1.369 5.332
0.000 2.738 6.008
2.371 1.369 2.301
```



[21]
VASP calculation (GGA-PBE) on an optimized crystal structure of BeRe3.

Results
- DFT formation energy (eV/atom) = 0.321
- total magnetic moment (μB per atom) = 0.000
- space-group type = No. 221
- excess energy over the best structure of this formula in the dataset (kJ/mol of formula units) = 148
- crystal system = cubic

The structure in POSCAR format:
```
BeRe3
1.0
-1.533 0.286 3.480
2.550 -2.504 1.329
2.385 2.862 0.815
Re Be
3 1
Cartesian
0.509 -1.109 2.404
0.426 1.574 2.147
2.467 0.179 1.072
0.000 0.000 0.000
```



[22]
VASP calculation (GGA-PBE) on an optimized crystal structure of Ni2WS.

Results
- total magnetic moment (μB per atom) = 0.000
- formation energy (no corrections) (eV per atom) = -0.081
- space-group type = No. 12
- crystal system = monoclinic

The structure in POSCAR format:
```
Ni2WS
1.0
-5.234 2.939 -3.186
-0.549 -2.901 -1.774
-2.690 -4.623 8.391
S W Ni
4 4 8
Cartesian
-5.758 -0.322 2.308
-2.166 -1.362 2.897
-4.688 0.539 -2.775
-3.786 -5.124 6.205
-3.371 -0.684 -1.182
-4.442 -1.545 3.900
-3.483 -0.139 1.304
-5.102 -3.901 4.613
-2.822 -3.493 3.241
-5.203 1.290 -0.500
-6.722 -1.953 5.272
-2.722 -2.974 5.704
-6.822 -2.472 2.809
-5.651 -1.092 0.189
-1.651 -2.113 0.622
-1.203 0.269 -0.067
```



[23]
VASP calculation (GGA-PBE) on an optimized crystal structure of GaReRu2C.

Results
- DFT formation energy (eV/atom) = 0.196
- total magnetic moment (μB per atom) = 0.000
- space-group type = No. 123
- crystal system = tetragonal

The structure in POSCAR format:
```
GaReRu2C
1.0
-2.726 -2.130 2.110
1.006 -3.341 -2.073
2.825 -0.869 2.772
Ru Ga Re C
2 1 1 1
Cartesian
1.412 -0.435 1.386
-1.363 -1.065 1.055
0.553 -3.170 1.405
0.503 -1.670 -1.036
0.000 0.000 0.000
```